No. 1
## Mn2SiF8 (PBE with a Hubbard U)

Data for a relaxed Mn2SiF8 crystal.

abc: 6.9687 6.9687 5.1981
angles: 95.96 95.96 39.46
With the nearest neighbours (Å) after each atom.
Positions (direct):
Mn 0.1544 0.1544 0.4968  4 F 2.00-2.22
Mn 0.8456 0.8456 0.5032  4 F 2.00-2.22
Si 0.0000 0.0000 0.0000  6 F 1.69-1.74
F 0.1185 0.1185 0.8771  1 Si 1.74
F 0.1979 0.7112 0.7760  1 Si 1.69
F 0.2888 0.8021 0.2240  1 Si 1.69
F 0.3023 0.3023 0.4342  1 Mn 2.00
F 0.6977 0.6977 0.5658  1 Mn 2.00
F 0.7112 0.1979 0.7760  1 Si 1.69
F 0.8021 0.2888 0.2240  1 Si 1.69
F 0.8815 0.8815 0.1229  1 Si 1.74

Properties
Space group: C2/m (12)
M_tot (μB/cell): 10.00
ΔE to the lowest computed polymorph (meV per atom): 78
DOS at the Fermi energy (states/eV/f.u.): 0.00
Uncorrected energy (Ry per atom): -0.440

No. 2
## MnSi2F8 (PBE with a Hubbard U)

Data for a relaxed MnSi2F8 crystal.

abc: 5.5039 5.5039 5.8615
angles: 99.46 99.46 90.73
With the nearest neighbours (Å) after each atom.
Positions (direct):
Mn 0.0000 0.0000 0.0000  6 F 2.03-2.22
Si 0.1563 0.1563 0.5943  4 F 1.62-1.81
Si 0.8437 0.8437 0.4057  4 F 1.62-1.81
F 0.0260 0.7030 0.2161  1 Si 1.72
F 0.1939 0.1939 0.3014  1 Si 1.81
F 0.2970 0.9740 0.7839  1 Si 1.72
F 0.3717 0.3717 0.6777  1 Si 1.62
F 0.6283 0.6283 0.3223  1 Si 1.62
F 0.7030 0.0260 0.2161  1 Si 1.72
F 0.8061 0.8061 0.6986  1 Si 1.81
F 0.9740 0.2970 0.7839  1 Si 1.72

Properties
Space group: C2/m (12)
M_tot (μB/cell): 3.03
DOS at the Fermi energy (states/eV/f.u.): 0.00
Uncorrected energy (Ry per atom): -0.402